[1]
Computed, not measured: a relaxed structure of Sr2AcAg2 at the PBE-GGA level of DFT.

**SG**: P2_1/m
**N(E_F)**: 8.653 states/eV per cell
**ΔH_f (0 K)**: -0.181 eV per atom
**Crystal system**: monoclinic

The structure in POSCAR format:
```
Sr2AcAg2
1.0
4.786 0.000 0.000
0.000 6.459 -0.941
0.000 -3.539 12.690
Ac Ag Sr
2 4 4
direct
0.750 0.183 0.790 Ac
0.250 0.817 0.210 Ac
0.750 0.644 0.023 Ag
0.250 0.356 0.977 Ag
0.750 0.138 0.360 Ag
0.250 0.862 0.640 Ag
0.250 0.294 0.549 Sr
0.250 0.765 0.877 Sr
0.750 0.235 0.123 Sr
0.750 0.706 0.451 Sr
```



[2]
Computed, not measured: a relaxed structure of Sn6Te5S at the PBE-GGA level of DFT.

**SG**: C2/m
**N(E_F)**: 0.339 states/eV per cell
**Total energy**: -47.29 eV/cell
**Crystal system**: monoclinic

The structure in POSCAR format:
```
Sn6Te5S
1.0
7.728 0.218 0.000
2.385 7.349 0.000
1.192 3.674 6.698
Sn Te S
6 5 1
direct
0.760 0.396 0.683 Sn
0.242 0.235 0.000 Sn
0.760 0.080 0.317 Sn
0.240 0.604 0.317 Sn
0.240 0.920 0.683 Sn
0.758 0.765 0.000 Sn
0.500 0.825 0.349 Te
0.500 0.175 0.651 Te
0.500 0.500 0.000 Te
0.000 0.665 0.670 Te
0.000 0.335 0.330 Te
0.000 0.000 0.000 S
```



[3]
Computed, not measured: a relaxed structure of Ce2Pd2Rh3 at the PBE-GGA level of DFT.

**SG**: C2/m
**N(E_F)**: 6.558 states/eV per cell
**ΔH_f (0 K)**: -0.614 eV per atom
**Crystal system**: monoclinic

The structure in POSCAR format:
```
Ce2Pd2Rh3
1.0
3.956 -0.002 -1.104
-2.313 4.418 -0.647
0.005 -1.448 7.647
Ce Pd Rh
2 2 3
direct
0.171 0.590 0.751 Ce
0.829 0.410 0.249 Ce
0.282 0.138 0.426 Pd
0.718 0.862 0.574 Pd
0.000 0.000 0.000 Rh
0.566 0.285 0.847 Rh
0.434 0.715 0.153 Rh
```



[4]
Computed, not measured: a relaxed structure of Er2Si4Tc3 at the PBE-GGA level of DFT.

**SG**: Fmmm
**N(E_F)**: 6.648 states/eV per cell
**Crystal system**: orthorhombic
**Relative energy among the computed polymorphs**: 310.3 meV per atom

The structure in POSCAR format:
```
Er2Si4Tc3
1.0
5.401 -0.099 0.000
-2.598 4.737 0.000
-1.402 -2.319 6.154
Tc Er Si
3 2 4
direct
0.500 0.000 0.000 Tc
0.000 0.000 0.000 Tc
0.000 0.500 0.000 Tc
0.362 0.362 0.725 Er
0.638 0.638 0.275 Er
0.017 0.660 0.677 Si
0.340 0.983 0.323 Si
0.660 0.017 0.677 Si
0.983 0.340 0.323 Si
```



[5]
Computed, not measured: a relaxed structure of ZnSi3Bi at the PBE-GGA level of DFT.

**SG**: Pm-3m
**N(E_F)**: 2.851 states/eV per cell
**Crystal system**: cubic
**Relative energy among the computed polymorphs**: 0.0 meV per atom

The structure in POSCAR format:
```
ZnSi3Bi
1.0
4.778 0.000 0.000
0.000 4.778 0.000
0.000 0.000 4.778
Bi Si Zn
1 3 1
direct
0.500 0.500 0.500 Bi
0.000 0.500 0.000 Si
0.000 0.000 0.500 Si
0.500 0.000 0.000 Si
0.000 0.000 0.000 Zn
```



[6]
Computed, not measured: a relaxed structure of Mo3Br at the PBE-GGA level of DFT.

**SG**: P6_3/mmc
**N(E_F)**: 7.233 states/eV per cell
**Crystal system**: hexagonal
**Relative energy among the computed polymorphs**: 496.1 meV per atom

The structure in POSCAR format:
```
Mo3Br
1.0
3.198 -5.539 0.000
3.198 5.539 0.000
0.000 0.000 4.284
Br Mo
2 6
direct
0.333 0.667 0.250 Br
0.667 0.333 0.750 Br
0.281 0.140 0.250 Mo
0.719 0.860 0.750 Mo
0.860 0.140 0.250 Mo
0.140 0.281 0.750 Mo
0.860 0.719 0.250 Mo
0.140 0.860 0.750 Mo
```



[7]
Computed, not measured: a relaxed structure of PmGa2IrO8 at the PBE-GGA level of DFT.

**SG**: P2/m
**N(E_F)**: 6.723 states/eV per cell
**Total energy**: -77.44 eV/cell
**Crystal system**: monoclinic

The structure in POSCAR format:
```
PmGa2IrO8
1.0
4.733 0.025 -0.003
0.061 4.705 -0.005
0.004 0.007 6.513
Ga O Pm Ir
2 8 1 1
direct
0.500 0.500 0.247 Ga
0.500 0.500 0.753 Ga
0.798 0.211 0.789 O
0.706 0.714 0.000 O
0.294 0.286 0.000 O
0.202 0.789 0.211 O
0.335 0.325 0.500 O
0.665 0.675 0.500 O
0.202 0.789 0.789 O
0.798 0.211 0.211 O
0.000 0.000 0.500 Pm
0.000 0.000 0.000 Ir
```



[8]
Computed, not measured: a relaxed structure of GeSbTe2C at the PBE-GGA level of DFT.

**SG**: P4/mmm
**N(E_F)**: 3.347 states/eV per cell
**Crystal system**: tetragonal
**Relative energy among the computed polymorphs**: 0.0 meV per atom

The structure in POSCAR format:
```
GeSbTe2C
1.0
4.864 0.000 0.000
0.000 4.864 0.000
0.000 0.000 4.728
Sb C Ge Te
1 1 1 2
direct
0.000 0.000 0.500 Sb
0.000 0.000 0.000 C
0.500 0.500 0.500 Ge
0.500 0.000 0.000 Te
0.000 0.500 0.000 Te
```



[9]
Computed, not measured: a relaxed structure of ReIN2F at the PBE-GGA level of DFT.

**SG**: P4/mmm
**N(E_F)**: 3.081 states/eV per cell
**Crystal system**: tetragonal
**Relative energy among the computed polymorphs**: 0.0 meV per atom

The structure in POSCAR format:
```
ReIN2F
1.0
3.826 0.000 0.000
0.000 3.826 0.000
0.000 0.000 5.656
F I N Re
1 1 2 1
direct
0.500 0.500 0.500 F
0.000 0.000 0.500 I
0.500 0.000 0.000 N
0.000 0.500 0.000 N
0.000 0.000 0.000 Re
```



[10]
Computed, not measured: a relaxed structure of Ba2TmSeO6 at the PBE-GGA level of DFT.

**SG**: R-3m
**Total energy**: -128.17 eV/cell
**Crystal system**: trigonal

The structure in POSCAR format:
```
Ba2TmSeO6
1.0
5.983 0.000 0.000
2.991 5.181 0.000
2.991 1.727 10.379
Ba O Se Tm
4 12 2 2
direct
0.703 0.703 0.891 Ba
0.297 0.297 0.109 Ba
0.868 0.868 0.395 Ba
0.132 0.132 0.605 Ba
0.611 0.174 0.604 O
0.800 0.800 0.116 O
0.174 0.611 0.604 O
0.389 0.389 0.396 O
0.285 0.800 0.116 O
0.715 0.200 0.884 O
0.611 0.611 0.604 O
0.200 0.200 0.884 O
0.389 0.826 0.396 O
0.800 0.285 0.116 O
0.826 0.389 0.396 O
0.200 0.715 0.884 O
0.500 0.500 0.500 Se
0.000 0.000 0.000 Se
0.408 0.408 0.775 Tm
0.592 0.592 0.225 Tm
```



[11]
Computed, not measured: a relaxed structure of Nd6CoBi3 at the PBE-GGA level of DFT.

**SG**: Cmc2_1
**N(E_F)**: 23.718 states/eV per cell
**ΔH_f (0 K)**: -0.373 eV per atom
**Crystal system**: orthorhombic

The structure in POSCAR format:
```
Nd6CoBi3
1.0
7.692 0.000 0.000
0.000 9.581 0.040
0.000 -2.099 9.348
Co Bi Nd
2 6 12
direct
0.497 0.862 0.138 Co
0.997 0.138 0.862 Co
0.991 0.706 0.929 Bi
0.991 0.071 0.294 Bi
0.491 0.929 0.706 Bi
0.374 0.389 0.611 Bi
0.491 0.294 0.071 Bi
0.874 0.611 0.389 Bi
0.255 0.003 0.997 Nd
0.180 0.697 0.629 Nd
0.755 0.997 0.003 Nd
0.158 0.393 0.905 Nd
0.158 0.095 0.607 Nd
0.658 0.607 0.095 Nd
0.658 0.905 0.393 Nd
0.680 0.629 0.697 Nd
0.180 0.371 0.303 Nd
0.202 0.760 0.240 Nd
0.702 0.240 0.760 Nd
0.680 0.303 0.371 Nd
```



[12]
Computed, not measured: a relaxed structure of SmInCoCu at the PBE-GGA level of DFT.

**SG**: F-43m
**N(E_F)**: 3.835 states/eV per cell
**ΔH_f (0 K)**: -0.097 eV per atom
**Crystal system**: cubic

The structure in POSCAR format:
```
SmInCoCu
1.0
-2.965 -0.565 -3.626
1.100 -2.955 -3.509
-2.367 -4.050 -0.503
Cu Sm In Co
1 1 1 1
direct
0.250 0.250 0.250 Cu
0.000 0.000 0.000 Sm
0.500 0.500 0.500 In
0.750 0.750 0.750 Co
```



Number 5 is which compound?
ZnSi3Bi